Entry P
Below is LiErTh after structural relaxation, with properties calculated at the PBE level.

```
data_LiErTh
_space_group_name_H-M_alt 'I 4 m m'
_space_group_IT_number 107
_space_group_name_Hall 'I 4 -2'
_cell_length_a 3.6236
_cell_length_b 3.6236
_cell_length_c 12.5792
_cell_angle_alpha 90.00
_cell_angle_beta 90.00
_cell_angle_gamma 90.00
loop_
_atom_site_label
_atom_site_type_symbol
_atom_site_fract_x
_atom_site_fract_y
_atom_site_fract_z
Li1 Li 0.0000 0.0000 0.0000
Er1 Er 0.0000 0.0000 0.6514
Th1 Th 0.0000 0.0000 0.3362
```

---

Entry Q
Below is LiErTh after structural relaxation, with properties calculated at the PBE level.

```
data_LiErTh
_space_group_name_H-M_alt 'P 4/n m m'
_space_group_IT_number 129
_cell_length_a 3.5890
_cell_length_b 3.5890
_cell_length_c 12.7875
_cell_angle_alpha 90.00
_cell_angle_beta 90.00
_cell_angle_gamma 90.00
loop_
_space_group_symop_operation_xyz
'x,y,z'
'-x,-y,-z'
'-y+1/2,x,z'
'y+1/2,-x,-z'
'-x+1/2,-y+1/2,z'
'x+1/2,y+1/2,-z'
'y,-x+1/2,z'
'-y,x+1/2,-z'
'x+1/2,-y,-z'
'-x+1/2,y,z'
'-y,-x,-z'
'y,x,z'
'-x,y+1/2,-z'
'x,-y+1/2,z'
'y+1/2,x+1/2,-z'
'-y+1/2,-x+1/2,z'
loop_
_atom_site_label
_atom_site_type_symbol
_atom_site_fract_x
_atom_site_fract_y
_atom_site_fract_z
Li1 Li 0.2500 0.2500 0.0514
Er1 Er 0.2500 0.2500 0.7849
Th1 Th 0.2500 0.2500 0.4045
```

---

Stability ranking, top entry: entry Q; the second entry is 64 meV/atom less favorable.

---

Entry P
Below is LiEr2Th after structural relaxation, with properties calculated at the PBE level.

```
data_LiEr2Th
_space_group_name_H-M_alt 'R -3 m'
_space_group_IT_number 166
_space_group_name_Hall '-R 3 2"'
_cell_length_a 3.4968
_cell_length_b 3.4968
_cell_length_c 35.5668
_cell_angle_alpha 90.00
_cell_angle_beta 90.00
_cell_angle_gamma 120.00
loop_
_atom_site_label
_atom_site_type_symbol
_atom_site_fract_x
_atom_site_fract_y
_atom_site_fract_z
Li1 Li 0.0000 0.0000 0.0000
Er1 Er 0.0000 0.0000 0.0894
Th1 Th 0.0000 0.0000 0.5000
```

---

Entry Q
Below is LiEr2Th after structural relaxation, with properties calculated at the PBE level.

```
data_LiEr2Th
_space_group_name_H-M_alt 'P 4/m m m'
_space_group_IT_number 123
_space_group_name_Hall '-P 4 2'
_cell_length_a 3.6110
_cell_length_b 3.6110
_cell_length_c 8.6073
_cell_angle_alpha 90.00
_cell_angle_beta 90.00
_cell_angle_gamma 90.00
loop_
_atom_site_label
_atom_site_type_symbol
_atom_site_fract_x
_atom_site_fract_y
_atom_site_fract_z
Li1 Li 0.0000 0.0000 0.0000
Er1 Er 0.5000 0.5000 0.2285
Th1 Th 0.0000 0.0000 0.5000
```

---

Entry R
Below is LiEr2Th after structural relaxation, with properties calculated at the PBE level.

```
data_LiEr2Th
_space_group_name_H-M_alt 'P 4/m m m'
_space_group_IT_number 123
_space_group_name_Hall '-P 4 2'
_cell_length_a 5.6748
_cell_length_b 5.6748
_cell_length_c 3.5922
_cell_angle_alpha 90.00
_cell_angle_beta 90.00
_cell_angle_gamma 90.00
loop_
_atom_site_label
_atom_site_type_symbol
_atom_site_fract_x
_atom_site_fract_y
_atom_site_fract_z
Li1 Li 0.0000 0.0000 0.0000
Er1 Er 0.0000 0.5000 0.5000
Th1 Th 0.5000 0.5000 0.0000
```

---

Entry S
Below is LiEr2Th after structural relaxation, with properties calculated at the PBE level.

```
data_LiEr2Th
_space_group_name_H-M_alt 'R 3 m'
_space_group_IT_number 160
_space_group_name_Hall 'R 3 -2"'
_cell_length_a 3.4681
_cell_length_b 3.4681
_cell_length_c 33.7665
_cell_angle_alpha 90.00
_cell_angle_beta 90.00
_cell_angle_gamma 120.00
loop_
_atom_site_label
_atom_site_type_symbol
_atom_site_fract_x
_atom_site_fract_y
_atom_site_fract_z
Li1 Li 0.0000 0.0000 0.0000
Er1 Er 0.0000 0.0000 0.4142
Er2 Er 0.0000 0.0000 0.5866
Th1 Th 0.0000 0.0000 0.8339
```

---

Stability ranking, top entry: entry Q; the second entry is 67 meV/atom less favorable.

---

Entry P
Below is LiEr2Ti after structural relaxation, with properties calculated at the PBE level.

```
data_LiEr2Ti
_space_group_name_H-M_alt 'R -3 m'
_space_group_IT_number 166
_space_group_name_Hall '-R 3 2"'
_cell_length_a 3.2785
_cell_length_b 3.2785
_cell_length_c 32.2658
_cell_angle_alpha 90.00
_cell_angle_beta 90.00
_cell_angle_gamma 120.00
loop_
_atom_site_label
_atom_site_type_symbol
_atom_site_fract_x
_atom_site_fract_y
_atom_site_fract_z
Li1 Li 0.0000 0.0000 0.0000
Er1 Er 0.0000 0.0000 0.2429
Ti1 Ti 0.0000 0.0000 0.5000
```

---

Entry Q
Below is LiEr2Ti after structural relaxation, with properties calculated at the PBE level.

```
data_LiEr2Ti
_space_group_name_H-M_alt 'P 4/m m m'
_space_group_IT_number 123
_space_group_name_Hall '-P 4 2'
_cell_length_a 3.3966
_cell_length_b 3.3966
_cell_length_c 8.4667
_cell_angle_alpha 90.00
_cell_angle_beta 90.00
_cell_angle_gamma 90.00
loop_
_atom_site_label
_atom_site_type_symbol
_atom_site_fract_x
_atom_site_fract_y
_atom_site_fract_z
Li1 Li 0.0000 0.0000 0.0000
Er1 Er 0.5000 0.5000 0.2661
Ti1 Ti 0.0000 0.0000 0.5000
```

---

Stability ranking, top entry: entry Q; the second entry is 59 meV/atom less favorable.